Entry 1:
Si2WSe | PBE | optimized geometry

Summary:
Uncorrected formation energy (kJ/mol of formula units): 166
Total magnetization (μB per cell): 0.0
DOS at the Fermi energy (states/eV/atom): 0.31

Cell lengths 3.408, 4.438, 8.182 Å; angles 90.00, 90.00, 90.00 degrees
Space group Imm2 (No. 44)
Inequivalent atoms, fractional coordinates:
Si  0.000  0.000  0.000 (multiplicity 2)
Si  0.000  0.500  0.295 (multiplicity 2)
W  0.000  0.000  0.538 (multiplicity 2)
Se  0.000  0.500  0.724 (multiplicity 2)

---

Entry 2:
Sm4Ge2H | PBE | optimized geometry

Summary:
Distance to the lowest polymorph of the same formula (eV per atom): 0.0000
Total magnetization (μB per cell): 0.0
DOS at the Fermi energy (states/eV/atom): 0.74

Cell lengths 6.431, 6.521, 8.669 Å; angles 90.00, 109.38, 90.00 degrees
Space group P2_1/m (No. 11)
Inequivalent atoms, fractional coordinates:
Sm  0.012  0.000  0.264 (multiplicity 4)
Sm  0.407  0.250  0.090 (multiplicity 2)
Sm  0.430  0.250  0.621 (multiplicity 2)
Ge  0.215  0.750  0.048 (multiplicity 2)
Ge  0.262  0.750  0.572 (multiplicity 2)
H  0.251  0.250  0.811 (multiplicity 2)

---

Entry 3:
K2AlB2 | PBE | optimized geometry

Summary:
Distance to the lowest polymorph of the same formula (eV per atom): 0.1895
Total magnetization (μB per cell): 0.0
DOS at the Fermi energy (states/eV/atom): 0.57

Cell lengths 9.418, 9.418, 2.780 Å; angles 90.00, 90.00, 90.00 degrees
Space group P4/mbm (No. 127)
Inequivalent atoms, fractional coordinates:
K  0.213  0.287  0.000 (multiplicity 4)
Al  0.000  0.000  0.000 (multiplicity 2)
B  0.060  0.560  0.500 (multiplicity 4)

---

Entry 4:
GaReI2N | PBE | optimized geometry

Summary:
Distance to the lowest polymorph of the same formula (eV per atom): 1.1486
Uncorrected formation energy (kJ/mol of formula units): 710
Total magnetization (μB per cell): 4.7
DOS at the Fermi energy (states/eV/atom): 0.89

Cell lengths 5.898, 5.898, 3.514 Å; angles 90.00, 90.00, 90.00 degrees
Space group P4/mmm (No. 123)
Inequivalent atoms, fractional coordinates:
Ga  0.000  0.000  0.000 (multiplicity 1)
Re  0.500  0.500  0.500 (multiplicity 1)
I  0.000  0.500  0.000 (multiplicity 2)
N  0.000  0.000  0.500 (multiplicity 1)

---

Entry 5:
Ba2TaOs | PBE | optimized geometry

Summary:
Distance to the lowest polymorph of the same formula (eV per atom): 0.9465
Total magnetization (μB per cell): 0.0
DOS at the Fermi energy (states/eV/atom): 0.64

Cell lengths 4.247, 4.247, 11.370 Å; angles 90.00, 90.00, 90.00 degrees
Space group I4/mmm (No. 139)
Inequivalent atoms, fractional coordinates:
Ba  0.000  0.500  0.250 (multiplicity 4)
Ta  0.000  0.000  0.000 (multiplicity 2)
Os  0.000  0.000  0.500 (multiplicity 2)

---

Entry 6:
Er12Ni6C | PBE | optimized geometry

Summary:
Uncorrected energy (eV/atom): -5.44
Total magnetization (μB per cell): 0.0
DOS at the Fermi energy (states/eV/atom): 0.83

Cell lengths 11.6642, 11.6642, 11.4524 Å; angles 90.00, 90.00, 120.00 degrees
Space group R-3 (No. 148, hexagonal axes)
Inequivalent atoms, fractional coordinates:
Er  0.0218  0.2109  0.3918 (multiplicity 18)
Er  0.0353  0.1921  0.8841 (multiplicity 18)
Ni  0.0445  0.2679  0.6479 (multiplicity 18)
C  0.0000  0.0000  0.0000 (multiplicity 3)

---

Entry 7:
Ac2AgGe4Rh3 | PBE | optimized geometry

Summary:
Uncorrected energy (eV/atom): -5.86
Total magnetization (μB per cell): 0.0
DOS at the Fermi energy (states/eV/atom): 0.72

Cell lengths 4.451, 4.451, 10.300 Å; angles 90.00, 90.00, 90.00 degrees
Space group P-4m2 (No. 115)
Inequivalent atoms, fractional coordinates:
Ac  0.000  0.500  0.242 (multiplicity 2)
Ag  0.000  0.000  0.500 (multiplicity 1)
Ge  0.000  0.000  0.000 (multiplicity 1)
Ge  0.000  0.500  0.635 (multiplicity 2)
Ge  0.500  0.500  0.000 (multiplicity 1)
Rh  0.000  0.500  0.879 (multiplicity 2)
Rh  0.500  0.500  0.500 (multiplicity 1)